A plane-wave DFT calculation with PBE was carried out for a relaxed ZrTaTi2Ag crystal.

a b c (Å): 4.7280 5.1382 4.7280
angles (deg): 90.00 90.00 90.00
Fractional positions:
1 Ti 0.0000 0.0000 0.5000
2 Ti 0.5000 0.0000 0.0000
3 Zr 0.0000 0.5000 0.0000
4 Ag 0.0000 0.0000 0.0000
5 Ta 0.5000 0.5000 0.5000

## Properties
SG: P4/mmm
Total magnetic moment in μB per cell: 0.00
Formation enthalpy at 0 K in eV/atom: 1.3336
VASP energy in eV for the cell shown: -32.4

A plane-wave DFT calculation with PBE was carried out for a relaxed Zn5FeRh6 crystal.

a b c (Å): 4.2564 6.0600 7.3857
angles (deg): 114.22 106.75 90.00
Fractional positions:
1 Zn 0.6666 0.1666 0.3332
2 Zn 0.3327 0.3327 0.6653
3 Zn 0.0000 0.5000 0.0000
4 Zn 0.6673 0.6673 0.3347
5 Zn 0.3334 0.8334 0.6668
6 Rh 0.8351 0.5866 0.6703
7 Rh 0.8351 0.0837 0.6703
8 Rh 0.5000 0.7524 0.0000
9 Rh 0.5000 0.2476 0.0000
10 Rh 0.1649 0.9163 0.3297
11 Rh 0.1649 0.4134 0.3297
12 Fe 0.0000 0.0000 0.0000

## Properties
SG: Immm
Total magnetic moment in μB per cell: 4.16
Formation enthalpy at 0 K in eV/atom: -0.3423
VASP energy in eV for the cell shown: -63.0

A plane-wave DFT calculation with PBE was carried out for a relaxed PrPd6Pb crystal.

a b c (Å): 4.1905 4.1905 8.2446
angles (deg): 90.00 90.00 90.00
Fractional positions:
1 Pr 0.0000 0.0000 0.0000
2 Pd 0.5000 0.5000 0.0000
3 Pd 0.5000 0.5000 0.5000
4 Pd 0.5000 0.0000 0.2588
5 Pd 0.5000 0.0000 0.7412
6 Pd 0.0000 0.5000 0.2588
7 Pd 0.0000 0.5000 0.7412
8 Pb 0.0000 0.0000 0.5000

## Properties
SG: P4/mmm
Total magnetic moment in μB per cell: 0.00
Formation enthalpy at 0 K in eV/atom: -0.5092
VASP energy in eV for the cell shown: -43.7
E above lowest polymorph in meV per atom: 0

A plane-wave DFT calculation with PBE was carried out for a relaxed InAg2Ir crystal.

a b c (Å): 5.2492 5.2492 5.2492
angles (deg): 135.21 135.21 65.20
Fractional positions:
1 Ir 0.7500 0.2500 0.5000
2 Ag 0.0000 0.0000 0.0000
3 Ag 0.5000 0.5000 0.0000
4 In 0.2500 0.7500 0.5000

## Properties
SG: I4/mmm
Total magnetic moment in μB per cell: 0.00
Formation enthalpy at 0 K in eV/atom: 0.1741
VASP energy in eV for the cell shown: -16.6